# Pr2PaSbN2

Crystalline Pr2PaSbN2 at its relaxed geometry (PBE, the Alexandria database).

The space group is P4/mmm. For the magnetic moment, the calculation gives 0.0 μB per cell. The calculation puts the density at 8.3 g/cm3. The final energy is -0.57611 Ry per atom.

Cell lengths 4.457, 4.457, 6.702 Å; angles 90.00, 90.00, 90.00 degrees
Fractional coordinates of all 6 atoms:
Pr (0.500, 0.500, 0.760)
Pr (0.500, 0.500, 0.240)
Pa (0.000, 0.000, 0.000)
Sb (0.000, 0.000, 0.500)
N (0.500, 0.000, 0.000)
N (0.000, 0.500, 0.000)